# 1
Entry from the Alexandria database: a relaxed structure of BeTlRuS2 (GGA-PBE).

Calculated values
formation energy without anion corrections: 2.87 eV/f.u.
magnetic moment: 0.0 μB per formula unit

a = 4.328 Å, b = 4.328 Å, c = 4.573 Å
α = 90.00°, β = 90.00°, γ = 90.00°
Space group P4/mmm (No. 123)
Unique sites:
Be: 0.000 0.000 0.000 (multiplicity 1)
Tl: 0.500 0.500 0.500 (multiplicity 1)
Ru: 0.000 0.000 0.500 (multiplicity 1)
S: 0.000 0.500 0.000 (multiplicity 2)

=====

# 2
Entry from the Alexandria database: a relaxed structure of HfZrAgHg (GGA-PBE).

Calculated values
polymorph energy (0 for the lowest one): 0.028 eV per atom
calculated formation energy: 0.113 eV per formula unit
magnetic moment: 0.0 μB per formula unit

a = 3.2233 Å, b = 3.2233 Å, c = 9.6838 Å
α = 90.00°, β = 90.00°, γ = 120.00°
Space group P3m1 (No. 156)
Unique sites:
Hf: 0.0000 0.0000 0.0000 (multiplicity 1)
Zr: 0.3333 0.6667 0.2494 (multiplicity 1)
Ag: 0.0000 0.0000 0.4986 (multiplicity 1)
Hg: 0.6667 0.3333 0.7451 (multiplicity 1)

=====

# 3
Entry from the Alexandria database: a relaxed structure of LiCe2Pa (GGA-PBE).

Calculated values
polymorph energy (0 for the lowest one): 0.065 eV per atom
calculated formation energy: 0.747 eV per formula unit
magnetic moment: 0.0 μB per formula unit

a = 3.1328 Å, b = 3.1328 Å, c = 36.4095 Å
α = 90.00°, β = 90.00°, γ = 120.00°
Space group R-3m (No. 166, hexagonal axes)
Unique sites:
Li: 0.0000 0.0000 0.0000 (multiplicity 3)
Ce: 0.0000 0.0000 0.0877 (multiplicity 6)
Pa: 0.0000 0.0000 0.5000 (multiplicity 3)

=====

# 4
Entry from the Alexandria database: a relaxed structure of Rb2PaO3 (GGA-PBE).

Calculated values
formation energy without anion corrections: -13.51 eV/f.u.
magnetic moment: 1.0 μB per formula unit

a = 7.542 Å, b = 11.020 Å, c = 6.238 Å
α = 90.00°, β = 116.12°, γ = 90.00°
Space group C2/c (No. 15)
Unique sites:
Rb: 0.000 0.072 0.250 (multiplicity 4)
Rb: 0.000 0.233 0.750 (multiplicity 4)
Pa: 0.000 0.409 0.250 (multiplicity 4)
O: 0.160 0.440 0.023 (multiplicity 8)
O: 0.250 0.250 0.500 (multiplicity 4)

=====

# 5
Entry from the Alexandria database: a relaxed structure of Nd2MnSn3Pt4 (GGA-PBE).

Calculated values
calculated formation energy: -7.523 eV per formula unit
magnetic moment: 4.1 μB per formula unit

a = 4.516 Å, b = 4.516 Å, c = 10.786 Å
α = 90.00°, β = 90.00°, γ = 90.00°
Space group P-4m2 (No. 115)
Unique sites:
Nd: 0.000 0.500 0.248 (multiplicity 2)
Mn: 0.500 0.500 0.000 (multiplicity 1)
Sn: 0.000 0.000 0.000 (multiplicity 1)
Sn: 0.000 0.500 0.632 (multiplicity 2)
Pt: 0.000 0.000 0.500 (multiplicity 1)
Pt: 0.000 0.500 0.871 (multiplicity 2)
Pt: 0.500 0.500 0.500 (multiplicity 1)

=====

# 6
Entry from the Alexandria database: a relaxed structure of ErPuTcNi (GGA-PBE).

Calculated values
calculated formation energy: -0.289 eV per formula unit
magnetic moment: 4.0 μB per formula unit

a = 6.721 Å, b = 6.721 Å, c = 6.721 Å
α = 90.00°, β = 90.00°, γ = 90.00°
Space group F-43m (No. 216)
Unique sites:
Er: 0.000 0.000 0.000 (multiplicity 4)
Pu: 0.000 0.000 0.500 (multiplicity 4)
Tc: 0.250 0.250 0.750 (multiplicity 4)
Ni: 0.250 0.250 0.250 (multiplicity 4)